Compound: Dy6C2NCl3
Source: Alexandria via LeMat-Bulk
Functional: PBE-GGA
Structure: relaxed

a b c (Å): 6.2546 6.2546 7.0774
angles (deg): 98.47 98.47 120.00
Last column: nearest neighbours and their distance in Å.
Positions (direct):
Dy 0.2692 0.2692 0.8129  1 N 2.43, 2 C 2.44
Dy 0.6060 0.9377 0.8130  1 N 2.43, 2 C 2.44
Dy 0.9377 0.6060 0.8130  1 N 2.43, 2 C 2.44
Dy 0.7308 0.7308 0.1871  1 N 2.43, 2 C 2.44
Dy 0.0623 0.3940 0.1870  1 N 2.43, 2 C 2.44
Dy 0.3940 0.0623 0.1870  1 N 2.43, 2 C 2.44
Cl 0.8319 0.1681 0.5000  6 Dy 2.97-2.98
Cl 0.1681 0.8319 0.5000  6 Dy 2.97-2.98
Cl 0.5000 0.5000 0.5000  6 Dy 2.97-2.98
N 0.0000 0.0000 0.0000  6 Dy 2.43
C 0.6665 0.3335 0.0000  6 Dy 2.44
C 0.3335 0.6665 0.0000  6 Dy 2.44

Values from the calculation:
E_form (uncorrected) = -1.272 eV per atom
N(E_F) = 0.345 states/eV/atom